[1]
The following is a SCAN calculation of a crystal of Sr2MgW relaxed with PBEsol, from the Alexandria database.

Computed properties:
Formation energy (eV per atom): 1.09
Uncorrected energy (eV for the cell shown): -114.85

abc: 5.3580 5.3584 5.3580
angles: 60.00 90.00 120.00
Closest atoms and distances in Å follow each position.
Positions (direct):
Mg1 0.7500 0.5000 0.7500  4 W 3.28, 4 Sr 3.28
Sr1 0.0000 0.0000 0.0000  4 Mg 3.28, 4 Sr 3.28
Sr2 0.2500 0.5000 0.2500  4 W 3.28, 4 Sr 3.28
W1 0.5000 0.0000 0.5000  4 Sr 3.28, 4 Mg 3.28

***

[2]
The following is a SCAN calculation of a crystal of Sr2MgW relaxed with PBEsol, from the Alexandria database.

Computed properties:
Formation energy (eV per atom): 0.94
Uncorrected energy (eV for the cell shown): -115.44

abc: 3.1740 5.9311 6.2974
angles: 106.61 104.60 90.00
Closest atoms and distances in Å follow each position.
Positions (direct):
Mg1 0.7928 0.2369 0.5856  2 W 2.81
Sr1 0.0207 0.0575 0.0414  2 Sr 3.17, 3 Mg 3.26-3.54, 4 W 3.39-3.45
Sr2 0.2190 0.6755 0.4381  2 Sr 3.17, 3 W 3.33-3.38, 2 Mg 3.39
W1 0.4675 0.5301 0.9350  2 Mg 2.81

***

[3]
The following is a SCAN calculation of a crystal of SrMgW3 relaxed with PBEsol, from the Alexandria database.

Computed properties:
Formation energy (eV per atom): 2.62
Offset from the most stable computed form (meV/atom): 0
Uncorrected energy (eV for the cell shown): -223.22

abc: 4.7612 4.7612 4.7612
angles: 90.00 90.00 90.00
Closest atoms and distances in Å follow each position.
Positions (direct):
Sr1 0.5000 0.5000 0.5000  12 W 3.37
Mg1 0.0000 0.0000 0.0000  6 W 2.38
W1 0.0000 0.5000 0.0000  2 Mg 2.38
W2 0.0000 0.0000 0.5000  2 Mg 2.38
W3 0.5000 0.0000 0.0000  2 Mg 2.38

***

[4]
The following is a SCAN calculation of a crystal of Sr2MgZnW relaxed with PBEsol, from the Alexandria database.

Computed properties:
Formation energy (eV per atom): 1.38
Uncorrected energy (eV for the cell shown): -125.84

abc: 5.0055 6.0735 6.0735
angles: 90.00 90.00 90.00
Closest atoms and distances in Å follow each position.
Positions (direct):
Sr1 0.0000 0.0000 0.5000  2 Mg 3.04
Sr2 0.0000 0.5000 0.0000  2 Mg 3.04
Zn1 0.5000 0.5000 0.5000  8 Sr 3.94, 4 W 4.29
Mg1 0.0000 0.0000 0.0000  2 W 2.50
W1 0.5000 0.0000 0.0000  2 Mg 2.50

***

[5]
The following is a SCAN calculation of a crystal of SrYMg relaxed with PBEsol, from the Alexandria database.

Computed properties:
Formation energy (eV per atom): 0.43
Uncorrected energy (eV for the cell shown): -53.79

abc: 5.4856 5.4856 5.4856
angles: 60.00 60.00 60.00
Closest atoms and distances in Å follow each position.
Positions (direct):
Mg1 0.2500 0.2500 0.2500  4 Sr 3.36, 4 Y 3.36
Sr1 0.0000 0.0000 0.0000  4 Mg 3.36
Y1 0.5000 0.5000 0.5000  4 Mg 3.36

***

[6]
The following is a SCAN calculation of a crystal of Sr2YMg relaxed with PBEsol, from the Alexandria database.

Computed properties:
Formation energy (eV per atom): 0.12
Uncorrected energy (eV for the cell shown): -76.87

abc: 3.9692 6.0650 7.1941
angles: 114.93 106.01 90.00
Closest atoms and distances in Å follow each position.
Positions (direct):
Mg1 0.2382 0.7382 0.4764  2 Y 3.22, 2 Sr 3.53
Sr1 0.9733 0.9733 0.9465  2 Mg 3.53, 4 Y 3.70
Sr2 0.7546 0.2546 0.5092  4 Mg 3.63, 4 Sr 3.97-4.02, 2 Y 4.00
Y1 0.5339 0.5339 0.0679  2 Mg 3.22

***

[7]
The following is a SCAN calculation of a crystal of SrMgZn relaxed with PBEsol, from the Alexandria database.

Computed properties:
Formation energy (eV per atom): -0.10
Uncorrected energy (eV for the cell shown): -41.08

abc: 3.6261 3.6261 6.5298
angles: 106.12 106.12 90.00
Closest atoms and distances in Å follow each position.
Positions (direct):
Sr1 0.6792 0.6792 0.3583  4 Zn 3.33, 5 Mg 3.44-3.63, 4 Sr 3.63
Zn1 0.3556 0.3556 0.7113  4 Mg 2.88
Mg1 0.9652 0.9652 0.9304  4 Zn 2.88

***

[8]
The following is a SCAN calculation of a crystal of SrMg2Zn relaxed with PBEsol, from the Alexandria database.

Computed properties:
Formation energy (eV per atom): -0.04
Uncorrected energy (eV for the cell shown): -45.88

abc: 3.4566 3.4566 8.4628
angles: 90.00 90.00 90.00
Closest atoms and distances in Å follow each position.
Positions (direct):
Mg1 0.0000 0.0000 0.6868  4 Zn 2.91, 1 Mg 3.16
Mg2 0.0000 0.0000 0.3132  4 Zn 2.91, 1 Mg 3.16
Sr1 0.5000 0.5000 0.0000  4 Sr 3.46, 8 Mg 3.61
Zn1 0.5000 0.5000 0.5000  8 Mg 2.91

***

[9]
The following is a SCAN calculation of a crystal of SrMgZn2 relaxed with PBEsol, from the Alexandria database.

Computed properties:
Formation energy (eV per atom): -0.22
Uncorrected energy (eV for the cell shown): -55.17

abc: 4.5868 4.5868 6.0276
angles: 67.64 67.64 60.00
Closest atoms and distances in Å follow each position.
Positions (direct):
Sr1 0.5000 0.5000 0.5000  8 Zn 3.20-3.45
Zn1 0.6970 0.6970 0.9089  3 Mg 2.69, 3 Zn 2.83
Zn2 0.3030 0.3030 0.0911  3 Mg 2.69, 3 Zn 2.83
Mg1 0.0000 0.0000 0.0000  6 Zn 2.69

***

[10]
The following is a SCAN calculation of a crystal of SrMgZn relaxed with PBEsol, from the Alexandria database.

Computed properties:
Formation energy (eV per atom): -0.12
Uncorrected energy (eV for the cell shown): -41.12

abc: 4.1675 4.8338 4.8338
angles: 120.00 90.00 90.00
Closest atoms and distances in Å follow each position.
Positions (direct):
Sr1 0.0000 0.3333 0.6667  6 Zn 3.48, 6 Mg 3.48
Zn1 0.5000 0.6667 0.3333  3 Mg 2.79
Mg1 0.5000 0.0000 0.0000  3 Zn 2.79

***

[11]
The following is a SCAN calculation of a crystal of SrMg2Zn2 relaxed with PBEsol, from the Alexandria database.

Computed properties:
Formation energy (eV per atom): -0.23
Uncorrected energy (eV for the cell shown): -60.39

abc: 4.4236 4.4236 6.7700
angles: 109.07 109.07 90.00
Closest atoms and distances in Å follow each position.
Positions (direct):
Sr1 0.0000 0.0000 0.0000  8 Zn 3.37, 8 Mg 3.73
Zn1 0.3953 0.3953 0.7905  1 Zn 2.52
Zn2 0.6047 0.6047 0.2095  1 Zn 2.52
Mg1 0.2500 0.7500 0.5000  4 Zn 2.82, 4 Mg 3.13
Mg2 0.7500 0.2500 0.5000  4 Zn 2.82, 4 Mg 3.13

***

[12]
The following is a SCAN calculation of a crystal of SrMg2Zn relaxed with PBEsol, from the Alexandria database.

Computed properties:
Formation energy (eV per atom): -0.07
Uncorrected energy (eV for the cell shown): -46.04

abc: 3.5814 3.5814 7.8921
angles: 90.00 90.00 90.00
Closest atoms and distances in Å follow each position.
Positions (direct):
Sr1 0.0000 0.0000 0.5297  4 Zn 3.30, 5 Mg 3.47-3.62, 4 Sr 3.58
Zn1 0.5000 0.5000 0.7975  5 Mg 2.88-3.20
Mg1 0.0000 0.0000 0.9699  4 Zn 2.88, 4 Mg 3.13
Mg2 0.5000 0.5000 0.2028  4 Mg 3.13, 1 Zn 3.20

***

[13]
The following is a SCAN calculation of a crystal of SrMg2Zn relaxed with PBEsol, from the Alexandria database.

Computed properties:
Formation energy (eV per atom): -0.05
Uncorrected energy (eV for the cell shown): -45.94

abc: 5.1846 5.1846 5.1846
angles: 60.00 60.00 60.00
Closest atoms and distances in Å follow each position.
Positions (direct):
Mg1 0.0000 0.0000 0.0000  4 Mg 3.17, 4 Zn 3.17
Mg2 0.7500 0.7500 0.7500  4 Sr 3.17, 4 Mg 3.17
Sr1 0.5000 0.5000 0.5000  4 Zn 3.17, 4 Mg 3.17
Zn1 0.2500 0.2500 0.2500  4 Mg 3.17, 4 Sr 3.17

***

[14]
The following is a SCAN calculation of a crystal of SrMg2Zn relaxed with PBEsol, from the Alexandria database.

Computed properties:
Formation energy (eV per atom): -0.09
Uncorrected energy (eV for the cell shown): -46.10

abc: 4.7946 4.7946 6.1633
angles: 67.11 67.11 60.00
Closest atoms and distances in Å follow each position.
Positions (direct):
Sr1 0.5071 0.5071 0.4787  4 Zn 3.29-3.55, 7 Mg 3.37-3.60
Zn1 0.3082 0.3082 0.0754  6 Mg 2.77-3.00
Mg1 0.9795 0.9795 0.0614  3 Zn 2.77, 3 Mg 2.97
Mg2 0.7109 0.7109 0.8674  3 Mg 2.97, 3 Zn 3.00

***

[15]
The following is a SCAN calculation of a crystal of SrMgZn2 relaxed with PBEsol, from the Alexandria database.

Computed properties:
Formation energy (eV per atom): -0.21
Uncorrected energy (eV for the cell shown): -55.13

abc: 4.4134 4.4134 6.4004
angles: 69.83 69.83 60.00
Closest atoms and distances in Å follow each position.
Positions (direct):
Sr1 0.2640 0.2640 0.2080  4 Mg 3.38-3.56, 7 Zn 3.39-3.62
Zn1 0.0582 0.0582 0.8253  3 Zn 2.55, 3 Mg 2.79
Zn2 0.7246 0.7246 0.8263  3 Zn 2.55, 3 Mg 2.79
Mg1 0.4560 0.4560 0.6320  6 Zn 2.79